Entry from OQMD: a relaxed Cu5Ag4 crystal (PBE).

## Properties
calculated total energy = -3.24 eV per atom
formation energy from the elements = 0.74 eV per formula unit
crystal system = orthorhombic
SG = Immm

```
Cu5Ag4
1.0
12.422 -3.848 2.548
10.182 -6.348 5.624
-11.237 3.764 -5.929
Cu Ag
5 4
Direct
0.273 0.273 0.000
0.727 0.727 0.000
0.952 0.952 0.000
0.048 0.048 0.000
0.500 0.500 0.000
0.396 0.396 0.000
0.604 0.604 0.000
0.170 0.170 0.000
0.830 0.830 0.000
```